Here is a relaxed HgPd5Pb crystal from Alexandria. Energies are from PBE-GGA.

The density of states at the Fermi level is 0.53 states/eV/atom. As for the formation energy: -135 meV per atom. For the magnetic moment, the calculation gives 0.00 μB/f.u. The calculation puts the theoretical density at 11.9 g/cm³.

It has space group Cmcm (No. 63), with a = 7.9338 Å, b = 5.7666 Å, c = 11.4349 Å, α = 90.00°, β = 90.00° and γ = 90.00°. The asymmetric unit holds Hg at (0.0000, 0.0000, 0.0000), Pd at (0.0000, 0.0075, 0.2500), Pd at (0.2461, 0.2612, 0.1230) and Pb at (0.0000, 0.4860, 0.7500).